# MgMnCu (GGA-PBE, optimized geometry)
data_MgMnCu
_symmetry_space_group_name_H-M 'C 1 m 1'
_symmetry_Int_Tables_number 8
_symmetry_space_group_name_Hall 'C -2y'
_cell_length_a 10.678
_cell_length_b 2.966
_cell_length_c 6.029
_cell_angle_alpha 90.00
_cell_angle_beta 107.18
_cell_angle_gamma 90.00
loop_
_atom_site_label
_atom_site_type_symbol
_atom_site_fract_x
_atom_site_fract_y
_atom_site_fract_z
Mg1 Mg 0.000 0.000 0.000
Mg2 Mg 0.199 0.500 0.836
Mn1 Mn 0.176 0.500 0.350
Mn2 Mn 0.349 0.000 0.219
Cu1 Cu 0.016 0.000 0.507
Cu2 Cu 0.355 0.000 0.643
# theoretical density = 5.2 g/cm3
# spin magnetization = 1.14 μB/atom
# energy above the most stable polymorph in this dataset = 68 meV per atom
# DOS(E_F) = 5.33 states/eV/cell